DFT (PBE) results for an optimized crystal structure of Dy5TlCd2.

abc: 9.3517 9.3517 9.3517
angles: 130.78 130.78 72.16
With the nearest neighbours (Å) after each atom.
Fractional coordinates of all 16 atoms:
Dy1 0.0000 0.0000 0.0000  4 Cd 3.05
Dy2 0.0081 0.5081 0.8249  2 Tl 3.26, 3 Cd 3.27, 2 Dy 3.48-3.58
Dy3 0.1832 0.0081 0.5000  2 Tl 3.26, 3 Cd 3.27, 2 Dy 3.48-3.58
Dy4 0.3168 0.8168 0.8249  2 Tl 3.26, 3 Cd 3.27, 2 Dy 3.48-3.58
Dy5 0.4919 0.3168 0.5000  2 Tl 3.26, 3 Cd 3.27, 2 Dy 3.48-3.58
Dy6 0.5000 0.5000 0.0000  4 Cd 3.05
Dy7 0.5081 0.6832 0.5000  2 Tl 3.26, 3 Cd 3.27, 2 Dy 3.48-3.58
Dy8 0.6832 0.1832 0.1751  2 Tl 3.26, 3 Cd 3.27, 2 Dy 3.48-3.58
Dy9 0.8168 0.9919 0.5000  2 Tl 3.26, 3 Cd 3.27, 2 Dy 3.48-3.58
Dy10 0.9919 0.4919 0.1751  2 Tl 3.26, 3 Cd 3.27, 2 Dy 3.48-3.58
Tl1 0.2500 0.2500 0.0000  8 Dy 3.26
Tl2 0.7500 0.7500 0.0000  8 Dy 3.26
Cd1 0.1299 0.3701 0.5000  1 Cd 2.86, 2 Dy 3.05
Cd2 0.3701 0.8701 0.2401  1 Cd 2.86, 2 Dy 3.05
Cd3 0.6299 0.1299 0.7599  1 Cd 2.86, 2 Dy 3.05
Cd4 0.8701 0.6299 0.5000  1 Cd 2.86, 2 Dy 3.05

Summary:
Energy of formation from the pure elements (kcal/mol of atoms): -4.78

---

DFT (PBE) results for an optimized crystal structure of Ce3CoGe4.

abc: 10.0772 10.0772 3.8636
angles: 90.00 90.00 154.27
With the nearest neighbours (Å) after each atom.
Fractional coordinates of all 8 atoms:
Ce1 0.0000 0.0000 0.0000  4 Ge 2.87, 4 Co 2.96
Ce2 0.1549 0.8451 0.5000  10 Ge 3.11-3.24
Ce3 0.8451 0.1549 0.5000  10 Ge 3.11-3.24
Co1 0.5000 0.5000 0.5000  4 Ge 2.64
Ge1 0.2788 0.7212 0.0000  3 Ge 2.51-2.55
Ge2 0.4085 0.5915 0.0000  1 Ge 2.55, 2 Co 2.64
Ge3 0.5915 0.4085 0.0000  1 Ge 2.55, 2 Co 2.64
Ge4 0.7212 0.2788 0.0000  3 Ge 2.51-2.55

Summary:
Energy of formation from the pure elements (kcal/mol of atoms): -11.83

---

DFT (PBE) results for an optimized crystal structure of SeBr2.

abc: 12.7441 12.7441 3.5756
angles: 90.00 90.00 163.06
With the nearest neighbours (Å) after each atom.
Fractional coordinates of all 6 atoms:
Se1 0.2266 0.7734 0.7500  2 Br 2.81, 4 Se 2.85
Se2 0.7734 0.2266 0.2500  2 Br 2.81, 4 Se 2.85
Br1 0.1409 0.8591 0.2500  2 Se 2.81
Br2 0.4553 0.5447 0.2500  2 Br 2.88
Br3 0.5447 0.4553 0.7500  2 Br 2.88
Br4 0.8591 0.1409 0.7500  2 Se 2.81

Summary:
Energy above the lowest structure with this stoichiometry (kJ/mol of atoms): 41.28
Raw formation energy (eV/atom): 0.419

---

DFT (PBE) results for an optimized crystal structure of Ti4GaAs.

abc: 5.7947 6.2307 6.1877
angles: 90.00 93.06 90.00
With the nearest neighbours (Å) after each atom.
Fractional coordinates of all 12 atoms:
Ti1 0.1235 0.1396 0.3724  1 As 2.44, 2 Ga 2.50-2.53
Ti2 0.1235 0.3604 0.8724  1 As 2.44, 2 Ga 2.50-2.53
Ti3 0.3716 0.6448 0.3475  2 As 2.48-2.50, 1 Ga 2.56
Ti4 0.3716 0.8552 0.8475  2 As 2.48-2.50, 1 Ga 2.56
Ti5 0.6284 0.1448 0.1525  2 As 2.48-2.50, 1 Ga 2.56
Ti6 0.6284 0.3552 0.6525  2 As 2.48-2.50, 1 Ga 2.56
Ti7 0.8765 0.6396 0.1276  1 As 2.44, 2 Ga 2.50-2.53
Ti8 0.8765 0.8604 0.6276  1 As 2.44, 2 Ga 2.50-2.53
Ga1 0.0000 0.0000 0.0000  6 Ti 2.50-2.56
Ga2 0.0000 0.5000 0.5000  6 Ti 2.50-2.56
As1 0.5000 0.0000 0.5000  6 Ti 2.44-2.50
As2 0.5000 0.5000 0.0000  6 Ti 2.44-2.50

Summary:
Energy of formation from the pure elements (kcal/mol of atoms): -3.00
Energy above the lowest structure with this stoichiometry (kJ/mol of atoms): 26.30

---

DFT (PBE) results for an optimized crystal structure of CaTiSi2N.

abc: 4.9593 4.9593 3.9286
angles: 90.00 90.00 90.00
With the nearest neighbours (Å) after each atom.
Fractional coordinates of all 5 atoms:
Ca1 0.0000 0.0000 0.0000  8 Si 3.16, 4 N 3.51
Ti1 0.5000 0.5000 0.5000  2 N 1.96
Si1 0.0000 0.5000 0.5000  2 Ti 2.48
Si2 0.5000 0.0000 0.5000  2 Ti 2.48
N1 0.5000 0.5000 0.0000  2 Ti 1.96

Summary:
Raw formation energy (eV/atom): 0.109

---

DFT (PBE) results for an optimized crystal structure of NpTlPt2.

abc: 3.4441 3.4441 7.1794
angles: 90.00 90.00 90.00
With the nearest neighbours (Å) after each atom.
Fractional coordinates of all 4 atoms:
Np1 0.0000 0.0000 0.0000  8 Pt 2.94
Tl1 0.0000 0.0000 0.5000  8 Pt 3.11, 4 Tl 3.44
Pt1 0.5000 0.5000 0.2299  4 Np 2.94, 4 Tl 3.11
Pt2 0.5000 0.5000 0.7701  4 Np 2.94, 4 Tl 3.11

Summary:
Energy of formation from the pure elements (kcal/mol of atoms): -5.92

---

DFT (PBE) results for an optimized crystal structure of AcErSe2O.

abc: 4.1528 4.1528 14.7021
angles: 90.00 90.00 90.00
With the nearest neighbours (Å) after each atom.
Fractional coordinates of all 10 atoms:
Ac1 0.2500 0.2500 0.0900  4 O 2.46
Ac2 0.7500 0.7500 0.9100  4 O 2.46
Er1 0.2500 0.2500 0.6162  1 Se 2.60
Er2 0.7500 0.7500 0.3838  1 Se 2.60
Se1 0.2500 0.2500 0.4108  5 Er 2.96-3.02
Se2 0.2500 0.2500 0.7930  1 Er 2.60
Se3 0.7500 0.7500 0.2070  1 Er 2.60
Se4 0.7500 0.7500 0.5892  5 Er 2.96-3.02
O1 0.2500 0.7500 0.0000  4 Ac 2.46
O2 0.7500 0.2500 0.0000  4 Ac 2.46

Summary:
Raw formation energy (eV/atom): -2.422

---

DFT (PBE) results for an optimized crystal structure of ScZnCdNi.

abc: 4.5485 4.5485 4.5485
angles: 60.00 60.00 60.00
With the nearest neighbours (Å) after each atom.
Fractional coordinates of all 4 atoms:
Sc1 0.0000 0.0000 0.0000  4 Ni 2.79, 4 Zn 2.79
Zn1 0.2500 0.2500 0.2500  4 Cd 2.79, 4 Sc 2.79
Cd1 0.5000 0.5000 0.5000  4 Ni 2.79, 4 Zn 2.79
Ni1 0.7500 0.7500 0.7500  4 Sc 2.79, 4 Cd 2.79

Summary:
Energy of formation from the pure elements (kcal/mol of atoms): -5.88